Entry 1:
## Mn3SbH (GGA-PBE)

Data for a geometry-optimized Mn3SbH structure.

density of states at the Fermi level = 3.979 states/eV/f.u.
offset from the most stable computed form = 0.399 eV/atom

abc: 6.2907 6.2907 4.7640
angles: 90.00 90.00 136.40
With the nearest neighbours (Å) after each atom.
Atoms (fractional coordinates):
H (0.1027, 0.8973, 0.2500)  4 Mn 1.69-1.70
H (0.8973, 0.1027, 0.7500)  4 Mn 1.69-1.70
Mn (0.5238, 0.9127, 0.7500)  1 H 1.70
Mn (0.0873, 0.4762, 0.7500)  1 H 1.70
Mn (0.9127, 0.5238, 0.2500)  1 H 1.70
Mn (0.0000, 0.0000, 0.0000)  2 H 1.69
Mn (0.4762, 0.0873, 0.2500)  1 H 1.70
Mn (0.0000, 0.0000, 0.5000)  2 H 1.69
Sb (0.3908, 0.6092, 0.2500)  10 Mn 2.64-2.92
Sb (0.6092, 0.3908, 0.7500)  10 Mn 2.64-2.92

Entry 2:
## Mn3SbH (GGA-PBE)

Data for a geometry-optimized Mn3SbH structure.

density of states at the Fermi level = 4.611 states/eV/f.u.
offset from the most stable computed form = 0.119 eV/atom

abc: 4.5250 7.9965 3.6872
angles: 90.00 65.96 77.17
With the nearest neighbours (Å) after each atom.
Atoms (fractional coordinates):
Mn (0.4311, 0.0241, 0.9303)  2 H 1.69-1.77
Mn (0.8391, 0.1231, 0.2260)  2 H 1.88
Mn (0.7162, 0.8481, 0.2876)  2 H 1.86
Mn (0.9991, 0.6187, 0.6465)  1 H 1.74
Mn (0.3370, 0.7396, 0.9771)  1 H 1.82
Mn (0.0879, 0.9054, 0.6017)  2 H 1.84-1.88
Sb (0.6457, 0.5110, 0.3230)  6 Mn 2.60-2.78
Sb (0.1921, 0.2592, 0.5498)  1 H 2.35, 1 Mn 2.63
H (0.7149, 0.8188, 0.7883)  6 Mn 1.74-1.86
H (0.7606, 0.1146, 0.7654)  4 Mn 1.69-1.88

Entry 3:
## Mn3SbH (GGA-PBE)

Data for a geometry-optimized Mn3SbH structure.

density of states at the Fermi level = 3.841 states/eV/f.u.
offset from the most stable computed form = 0.348 eV/atom

abc: 4.4006 4.4006 7.6235
angles: 90.00 90.00 120.00
With the nearest neighbours (Å) after each atom.
Atoms (fractional coordinates):
Mn (0.3333, 0.6667, 0.4137)  1 Mn 2.50, 1 Sb 2.56, 3 H 2.62
Mn (0.6667, 0.3333, 0.5863)  1 Mn 2.50, 1 Sb 2.56, 3 H 2.62
Mn (0.0000, 0.0000, 0.7500)  2 H 1.91
Mn (0.3333, 0.6667, 0.0863)  1 Mn 2.50, 1 Sb 2.56, 3 H 2.62
Mn (0.6667, 0.3333, 0.9137)  1 Mn 2.50, 1 Sb 2.56, 3 H 2.62
Mn (0.0000, 0.0000, 0.2500)  2 H 1.91
Sb (0.3333, 0.6667, 0.7500)  11 Mn 2.54-2.83
Sb (0.6667, 0.3333, 0.2500)  11 Mn 2.54-2.83
H (0.0000, 0.0000, 0.5000)  2 Mn 1.91
H (0.0000, 0.0000, 0.0000)  2 Mn 1.91

Entry 4:
## Mn3SbH (GGA-PBE)

Data for a geometry-optimized Mn3SbH structure.

density of states at the Fermi level = 5.160 states/eV/f.u.
offset from the most stable computed form = 0.523 eV/atom

abc: 2.7824 6.8045 6.8045
angles: 136.68 90.00 90.00
With the nearest neighbours (Å) after each atom.
Atoms (fractional coordinates):
Mn (0.5000, 0.6557, 0.8433)  2 H 1.94
Mn (0.0000, 0.2745, 0.7255)  1 H 2.15
Mn (0.5000, 0.1567, 0.3443)  2 H 1.94
H (0.0000, 0.4448, 0.5552)  5 Mn 1.94-2.15
Sb (0.5000, 0.0963, 0.9037)  4 Mn 2.65-2.71, 2 Sb 2.78

Entry 5:
## Mn3SbH (GGA-PBE)

Data for a geometry-optimized Mn3SbH structure.

density of states at the Fermi level = 3.731 states/eV/f.u.
offset from the most stable computed form = 0.070 eV/atom

abc: 4.5714 9.3442 3.6457
angles: 78.83 66.51 84.33
With the nearest neighbours (Å) after each atom.
Atoms (fractional coordinates):
H (0.7106, 0.8408, 0.8181)  6 Mn 1.79-1.97
H (0.8373, 0.0824, 0.6348)  4 Mn 1.69-1.85
Mn (0.1035, 0.9257, 0.5794)  2 H 1.80-1.84
Mn (0.9064, 0.0927, 0.0951)  2 H 1.85
Mn (0.8958, 0.6520, 0.8190)  1 H 1.88
Mn (0.6963, 0.8381, 0.3266)  2 H 1.82
Mn (0.4749, 0.0057, 0.8540)  2 H 1.69-1.79
Mn (0.2821, 0.7580, 0.0733)  1 H 1.97
Sb (0.4902, 0.5489, 0.5728)  6 Mn 2.64-2.81
Sb (0.3267, 0.2184, 0.3226)  1 H 2.43, 1 Mn 2.66

Entry 6:
## Mn3SbH (GGA-PBE)

Data for a geometry-optimized Mn3SbH structure.

density of states at the Fermi level = 3.610 states/eV/f.u.
offset from the most stable computed form = 0.449 eV/atom

abc: 3.6248 3.6248 5.7874
angles: 90.00 90.00 90.00
With the nearest neighbours (Å) after each atom.
Atoms (fractional coordinates):
H (0.5000, 0.5000, 0.4372)  4 Mn 1.84
Mn (0.0000, 0.0000, 0.7016)  4 Mn 2.20
Mn (0.5000, 0.0000, 0.4870)  2 H 1.84
Mn (0.0000, 0.5000, 0.4870)  2 H 1.84
Sb (0.0000, 0.0000, 0.1511)  5 Mn 2.60-2.66

Entry 7:
## Mn3SbH (GGA-PBE)

Data for a geometry-optimized Mn3SbH structure.

density of states at the Fermi level = 3.685 states/eV/f.u.
offset from the most stable computed form = 0.113 eV/atom

abc: 10.9430 7.9860 7.9860
angles: 77.66 125.00 55.00
With the nearest neighbours (Å) after each atom.
Atoms (fractional coordinates):
H (0.7500, 0.0667, 0.5667)  4 Mn 1.77-1.80
H (0.2500, 0.9333, 0.4333)  4 Mn 1.77-1.80
H (0.2500, 0.5669, 0.0669)  4 Mn 1.77-1.80
H (0.7500, 0.4331, 0.9331)  4 Mn 1.77-1.80
Mn (0.9994, 0.3567, 0.1820)  2 H 1.77
Mn (0.0004, 0.2828, 0.8706)  4 Mn 2.43-2.68, 2 Sb 2.65, 2 H 2.69
Mn (0.0006, 0.6433, 0.8180)  2 H 1.77
Mn (0.9996, 0.7172, 0.1294)  4 Mn 2.43-2.68, 2 Sb 2.65, 2 H 2.69
Mn (0.5000, 0.6564, 0.5137)  2 H 1.80
Mn (0.5006, 0.6820, 0.8567)  2 H 1.77
Mn (0.5004, 0.6294, 0.2172)  4 Mn 2.43-2.68, 2 Sb 2.65, 2 H 2.69
Mn (0.0000, 0.0137, 0.1564)  2 H 1.80
Mn (0.5000, 0.3436, 0.4863)  2 H 1.80
Mn (0.4994, 0.3180, 0.1433)  2 H 1.77
Mn (0.0000, 0.9863, 0.8436)  2 H 1.80
Mn (0.4996, 0.3706, 0.7828)  4 Mn 2.43-2.68, 2 Sb 2.65, 2 H 2.69
Sb (0.4996, 0.0351, 0.7147)  7 Mn 2.65-2.85
Sb (0.0004, 0.2147, 0.5351)  7 Mn 2.65-2.85
Sb (0.9996, 0.7853, 0.4649)  7 Mn 2.65-2.85
Sb (0.5004, 0.9649, 0.2853)  7 Mn 2.65-2.85

Entry 8:
## Mn3SbH (GGA-PBE)

Data for a geometry-optimized Mn3SbH structure.

density of states at the Fermi level = 2.940 states/eV/f.u.
offset from the most stable computed form = 0.093 eV/atom

abc: 6.0042 5.7537 3.7320
angles: 108.94 108.12 84.20
With the nearest neighbours (Å) after each atom.
Atoms (fractional coordinates):
H (0.6794, 0.6993, 0.0384)  3 Mn 1.72-1.90
H (0.6797, 0.0845, 0.7312)  3 Mn 1.72-1.90
Mn (0.6798, 0.0145, 0.1963)  3 H 1.72-1.90
Mn (0.3366, 0.0302, 0.5326)  1 H 1.98
Mn (0.0229, 0.0302, 0.8758)  1 H 1.98
Mn (0.0229, 0.7536, 0.2373)  1 H 1.98
Mn (0.3367, 0.7536, 0.8942)  1 H 1.98
Mn (0.6798, 0.7694, 0.5736)  3 H 1.72-1.90
Sb (0.9553, 0.3919, 0.5226)  6 Mn 2.59-2.74
Sb (0.4042, 0.3919, 0.2473)  6 Mn 2.59-2.74

The lowest offset from the most stable computed form belongs to which entry? number 5

Look up the offset from the most stable computed form of the fourth one. 0.523 eV/atom

The highest density of states at the Fermi level belongs to which entry? number 4

Which of these has the highest density of states at the Fermi level? number 4